GGA-PBE RbSrLi2Ni, relaxed; total moment = 0.0 μB per cell; symmetry = No. 123; crystal system = tetragonal; energy relative to the elements = 1.20 eV/atom
1.0
4.9415 0.0000 0.0000
0.0000 4.9415 0.0000
0.0000 0.0000 6.5601
Rb Sr Li Ni
1 1 2 1
direct
0.0000 0.0000 0.0000
0.0000 0.0000 0.5000
0.0000 0.5000 0.0000
0.5000 0.0000 0.0000
0.5000 0.5000 0.5000